1.
DFT (PBE-GGA) results for a relaxed structure of CaSn5Br12.

Values from the calculation:
* symmetry: C2/m, No. 12
* formation energy from raw total energies: -94 kJ per mole of atoms
* magnetization: 0.00 μB/f.u.
* calculated volume: 696.4 Å³/f.u.

Unit cell a=7.568 b=7.594 c=13.974 alpha=89.99 beta=89.98 gamma=60.11
Element x y z (fractional)
1 Br 0.324 0.000 0.115
2 Br 0.833 0.667 0.619
3 Br 0.323 0.676 0.885
4 Br 0.499 0.333 0.619
5 Br 0.167 0.333 0.381
6 Br 0.676 0.000 0.885
7 Br 0.001 0.676 0.115
8 Br 0.166 0.000 0.619
9 Br 0.834 0.000 0.381
10 Br 0.677 0.324 0.115
11 Br 0.501 0.667 0.381
12 Br 0.999 0.324 0.885
13 Sn 0.833 0.333 0.500
14 Sn 0.667 0.667 0.000
15 Sn 0.333 0.333 0.000
16 Sn 0.500 0.000 0.500
17 Sn 0.167 0.667 0.500
18 Ca 0.000 0.000 0.000

=====

2.
DFT (PBE-GGA) results for a relaxed structure of CaSn3Br.

Values from the calculation:
* symmetry: Pm-3m, No. 221
* formation energy from raw total energies: 22 kJ per mole of atoms
* energy relative to the lowest polymorph listed for this composition: 0.0 meV per atom
* magnetization: 0.00 μB/f.u.
* calculated volume: 175.8 Å³/f.u.

Unit cell a=5.602 b=5.602 c=5.602 alpha=90.00 beta=90.00 gamma=90.00
Element x y z (fractional)
1 Sn 0.500 0.000 0.000
2 Sn 0.000 0.000 0.500
3 Sn 0.000 0.500 0.000
4 Br 0.000 0.000 0.000
5 Ca 0.500 0.500 0.500

=====

3.
DFT (PBE-GGA) results for a relaxed structure of Ca2SnBr.

Values from the calculation:
* symmetry: Fm-3m, No. 225
* formation energy from raw total energies: -78 kJ per mole of atoms
* energy relative to the lowest polymorph listed for this composition: 206.6 meV per atom
* magnetization: 0.00 μB/f.u.
* calculated volume: 118.1 Å³/f.u.

Unit cell a=5.506 b=5.506 c=5.506 alpha=60.00 beta=60.00 gamma=60.00
Element x y z (fractional)
1 Ca 0.750 0.750 0.750
2 Ca 0.250 0.250 0.250
3 Br 0.000 0.000 0.000
4 Sn 0.500 0.500 0.500

=====

4.
DFT (PBE-GGA) results for a relaxed structure of Ca2SnBr.

Values from the calculation:
* symmetry: R3m, No. 160
* formation energy from raw total energies: -94 kJ per mole of atoms
* energy relative to the lowest polymorph listed for this composition: 45.6 meV per atom
* magnetization: 0.00 μB/f.u.
* calculated volume: 128.6 Å³/f.u.

Unit cell a=4.245 b=4.245 c=8.595 alpha=75.70 beta=75.70 gamma=60.00
Element x y z (fractional)
1 Sn 0.668 0.668 0.997
2 Ca 0.257 0.257 0.230
3 Ca 0.079 0.079 0.762
4 Br 0.496 0.496 0.511